[1]
Fe4NiSe10 | Alexandria via LeMat-Bulk | PBE-GGA | relaxed; E = -5.284 eV/atom; space group = P2/m; E_form (uncorrected) = -0.32 eV per atom
1.0
3.618 0.000 0.000
0.000 4.847 -0.002
0.000 0.099 29.059
Se Ni Fe
20 2 8
direct
0.500 0.283 0.828
0.500 0.717 0.172
0.000 0.216 0.323
0.500 0.703 0.372
0.000 0.781 0.475
0.500 0.278 0.225
0.000 0.784 0.677
0.000 0.222 0.728
0.000 0.780 0.073
0.000 0.217 0.126
0.500 0.707 0.574
0.000 0.783 0.874
0.500 0.722 0.775
0.500 0.293 0.426
0.500 0.297 0.628
0.500 0.281 0.026
0.500 0.719 0.974
0.000 0.220 0.927
0.000 0.778 0.272
0.000 0.219 0.525
0.000 0.002 0.601
0.000 0.998 0.399
0.000 0.003 0.801
0.000 0.997 0.199
0.500 0.494 0.298
0.000 0.000 0.000
0.500 0.498 0.099
0.500 0.502 0.901
0.500 0.506 0.702
0.500 0.500 0.500

[2]
FeNiSe3 | Alexandria via LeMat-Bulk | PBE-GGA | relaxed; E = -5.150 eV/atom; energy relative to the lowest polymorph listed for this composition = 0.0 meV per atom; space group = P-6c2; E_form (uncorrected) = -0.21 eV per atom
1.0
-0.062 1.531 5.235
-4.301 -4.009 1.121
5.755 -1.560 0.524
Se Ni Fe
6 2 2
direct
0.750 0.342 0.352
0.250 0.648 0.658
0.250 0.342 0.990
0.250 0.010 0.352
0.750 0.010 0.658
0.750 0.648 0.990
0.500 0.000 0.000
0.000 0.000 0.000
0.500 0.667 0.333
0.000 0.667 0.333

[3]
FeNiSe2 | Alexandria via LeMat-Bulk | PBE-GGA | relaxed; E = -4.694 eV/atom; energy relative to the lowest polymorph listed for this composition = 874.3 meV per atom; space group = F-43m; E_form (uncorrected) = 0.61 eV per atom
1.0
-2.256 -2.020 3.300
-2.891 -3.287 -0.949
0.971 -4.228 1.115
Se Ni Fe
2 1 1
direct
0.750 0.750 0.750
0.000 0.000 0.000
0.250 0.250 0.250
0.500 0.500 0.500

- Number 1 is which compound?
  Fe4NiSe10

- What is the E_form (uncorrected) in the second record?
  -0.21 eV per atom

- Which value of E_form (uncorrected) does entry 3 give?
  0.61 eV per atom